# TbH2Se

Crystalline TbH2Se at its relaxed geometry (PBE-GGA, the Open Quantum Materials Database).

Lattice parameters (Å, degrees): 5.544 5.544 5.544 38.39 38.39 38.39
Sites, in units of the cell vectors:
Tb 0.000 0.000 0.000
H 0.384 0.384 0.384
H 0.695 0.695 0.695
Se 0.194 0.194 0.194

## Properties
Calculated volume ... 59.03 Å³/cell
Spin magnetization ... 0.01 μB/f.u.
DFT total energy ... -4.348 eV/atom
Space group ... R3m